# 1
AcDy2ErS6: optimized geometry, PBE.

a b c (Å): 7.4230 7.4230 7.4230
angles (deg): 56.80 56.80 56.80
With the nearest neighbours (Å) after each atom.
Positions (direct):
Ac1 0.0000 0.0000 0.0000  6 S 2.93-3.08
Dy1 0.2818 0.2818 0.2818  6 S 2.72-2.78
Dy2 0.7897 0.7897 0.7897  6 S 2.69-2.78
Er1 0.4848 0.4848 0.4848  6 S 2.74-2.76
S1 0.0777 0.6457 0.4288  2 Dy 2.69-2.78, 1 Er 2.76, 1 Ac 2.93
S2 0.1897 0.5736 0.8854  2 Dy 2.72-2.78, 1 Er 2.74
S3 0.4288 0.0777 0.6457  2 Dy 2.69-2.78, 1 Er 2.76, 1 Ac 2.93
S4 0.5736 0.8854 0.1897  2 Dy 2.72-2.78, 1 Er 2.74
S5 0.6457 0.4288 0.0777  2 Dy 2.69-2.78, 1 Er 2.76, 1 Ac 2.93
S6 0.8854 0.1897 0.5736  2 Dy 2.72-2.78, 1 Er 2.74

Properties
Its crystal system is trigonal. For the energy relative to the elements, uncorrected, the calculation gives -2.074 eV per atom. The total magnetization comes out at 0.000 μB/f.u.

# 2
AcDy2ErSb4: optimized geometry, PBE.

a b c (Å): 7.7681 4.4905 7.7724
angles (deg): 90.00 109.42 90.00
With the nearest neighbours (Å) after each atom.
Positions (direct):
Ac1 0.0000 0.0000 0.0000  6 Sb 3.27-3.28
Dy1 0.0000 0.5000 0.5000  6 Sb 3.18-3.19
Dy2 0.5000 0.0000 0.5000  6 Sb 3.07-3.08
Er1 0.5000 0.5000 0.0000  6 Sb 3.16-3.17
Sb1 0.2591 0.0000 0.7438  3 Dy 3.07-3.19, 2 Er 3.17, 1 Ac 3.27
Sb2 0.2665 0.5000 0.2650  3 Dy 3.08-3.18, 1 Er 3.16, 2 Ac 3.28
Sb3 0.7335 0.5000 0.7350  3 Dy 3.08-3.18, 1 Er 3.16, 2 Ac 3.28
Sb4 0.7409 0.0000 0.2562  3 Dy 3.07-3.19, 2 Er 3.17, 1 Ac 3.27

Properties
Its crystal system is monoclinic. For the energy relative to the elements, uncorrected, the calculation gives -1.105 eV per atom. The total magnetization comes out at 0.000 μB/f.u.

# 3
Ac4DyEr3Se8: optimized geometry, PBE.

a b c (Å): 8.8154 8.8154 8.8154
angles (deg): 55.75 55.75 55.75
With the nearest neighbours (Å) after each atom.
Positions (direct):
Ac1 0.0000 0.0000 0.0000  6 Se 3.17
Ac2 0.0000 0.5000 0.5000  6 Se 3.19
Ac3 0.5000 0.0000 0.5000  6 Se 3.19
Ac4 0.5000 0.5000 0.0000  6 Se 3.19
Dy1 0.5000 0.5000 0.5000  6 Se 2.88
Er1 0.0000 0.0000 0.5000  6 Se 2.86
Er2 0.0000 0.5000 0.0000  6 Se 2.86
Er3 0.5000 0.0000 0.0000  6 Se 2.86
Se1 0.2365 0.7396 0.7396  2 Er 2.86, 1 Dy 2.88, 3 Ac 3.17-3.19
Se2 0.2382 0.2382 0.2382  3 Er 2.86, 3 Ac 3.19
Se3 0.2604 0.2604 0.7635  2 Er 2.86, 1 Dy 2.88, 3 Ac 3.17-3.19
Se4 0.2604 0.7635 0.2604  2 Er 2.86, 1 Dy 2.88, 3 Ac 3.17-3.19
Se5 0.7396 0.2365 0.7396  2 Er 2.86, 1 Dy 2.88, 3 Ac 3.17-3.19
Se6 0.7396 0.7396 0.2365  2 Er 2.86, 1 Dy 2.88, 3 Ac 3.17-3.19
Se7 0.7618 0.7618 0.7618  3 Er 2.86, 3 Ac 3.19
Se8 0.7635 0.2604 0.2604  2 Er 2.86, 1 Dy 2.88, 3 Ac 3.17-3.19

Properties
Its crystal system is trigonal. For the energy relative to the elements, uncorrected, the calculation gives -1.783 eV per atom. The total magnetization comes out at 0.000 μB/f.u.

# 4
AcDy2ErSe6: optimized geometry, PBE.

a b c (Å): 7.7746 7.7746 7.7746
angles (deg): 56.55 56.55 56.55
With the nearest neighbours (Å) after each atom.
Positions (direct):
Ac1 0.0000 0.0000 0.0000  6 Se 3.05-3.19
Dy1 0.2866 0.2866 0.2866  6 Se 2.85-2.90
Dy2 0.7945 0.7945 0.7945  6 Se 2.82-2.90
Er1 0.4857 0.4857 0.4857  6 Se 2.87-2.88
Se1 0.0767 0.6526 0.4309  2 Dy 2.82-2.90, 1 Er 2.88, 1 Ac 3.05
Se2 0.1960 0.5741 0.8877  2 Dy 2.85-2.90, 1 Er 2.87, 1 Ac 3.19
Se3 0.4309 0.0767 0.6526  2 Dy 2.82-2.90, 1 Er 2.88, 1 Ac 3.05
Se4 0.5741 0.8877 0.1960  2 Dy 2.85-2.90, 1 Er 2.87, 1 Ac 3.19
Se5 0.6526 0.4309 0.0767  2 Dy 2.82-2.90, 1 Er 2.88, 1 Ac 3.05
Se6 0.8877 0.1960 0.5741  2 Dy 2.85-2.90, 1 Er 2.87, 1 Ac 3.19

Properties
Its crystal system is trigonal. For the energy relative to the elements, uncorrected, the calculation gives -1.875 eV per atom. The total magnetization comes out at 0.000 μB/f.u.

# 5
Ac2DyErSe5: optimized geometry, PBE.

a b c (Å): 5.1229 5.1229 10.8836
angles (deg): 90.00 90.00 90.00
With the nearest neighbours (Å) after each atom.
Positions (direct):
Ac1 0.0000 0.0000 0.2106  5 Se 3.15-3.44
Ac2 0.0000 0.0000 0.7894  5 Se 3.15-3.44
Dy1 0.5000 0.5000 0.5000  2 Se 2.67
Er1 0.5000 0.5000 0.0000  6 Se 2.56-2.78
Se1 0.0000 0.0000 0.5000  2 Ac 3.15
Se2 0.0000 0.5000 0.0000  2 Er 2.56
Se3 0.5000 0.0000 0.0000  2 Er 2.56
Se4 0.5000 0.5000 0.2551  1 Dy 2.67, 1 Er 2.78
Se5 0.5000 0.5000 0.7449  1 Dy 2.67, 1 Er 2.78

Properties
Its crystal system is tetragonal. For the energy relative to the elements, uncorrected, the calculation gives -1.488 eV per atom. The total magnetization comes out at 0.000 μB/f.u.

# 6
Ac2DyErSe4: optimized geometry, PBE.

a b c (Å): 7.1718 4.1211 7.7772
angles (deg): 90.00 107.78 90.00
With the nearest neighbours (Å) after each atom.
Positions (direct):
Ac1 0.0000 0.0000 0.0000  6 Se 3.18
Ac2 0.5000 0.5000 0.0000  6 Se 3.17
Dy1 0.0000 0.5000 0.5000  6 Se 2.88-2.89
Er1 0.5000 0.0000 0.5000  6 Se 2.87
Se1 0.2407 0.0000 0.7176  1 Er 2.87, 2 Dy 2.88, 3 Ac 3.17-3.18
Se2 0.2634 0.5000 0.2836  2 Er 2.87, 1 Dy 2.89, 3 Ac 3.17-3.18
Se3 0.7366 0.5000 0.7164  2 Er 2.87, 1 Dy 2.89, 3 Ac 3.17-3.18
Se4 0.7593 0.0000 0.2824  1 Er 2.87, 2 Dy 2.88, 3 Ac 3.17-3.18

Properties
Its crystal system is monoclinic. For the energy relative to the elements, uncorrected, the calculation gives -1.791 eV per atom. The total magnetization comes out at 0.000 μB/f.u.

# 7
Ac2DyErSe6: optimized geometry, PBE.

a b c (Å): 7.1648 7.8841 12.7461
angles (deg): 90.00 124.10 90.00
With the nearest neighbours (Å) after each atom.
Positions (direct):
Ac1 0.2135 0.0963 0.2497  6 Se 3.10-3.31
Ac2 0.2135 0.4037 0.7497  6 Se 3.10-3.31
Ac3 0.7865 0.5963 0.2503  6 Se 3.10-3.31
Ac4 0.7865 0.9037 0.7503  6 Se 3.10-3.31
Dy1 0.5000 0.0000 0.0000  6 Se 2.83-2.86
Dy2 0.5000 0.5000 0.5000  6 Se 2.83-2.86
Er1 0.0000 0.0000 0.5000  6 Se 2.81-2.84
Er2 0.0000 0.5000 0.0000  6 Se 2.81-2.84
Se1 0.1132 0.1885 0.9362  1 Dy 2.83, 1 Er 2.84, 1 Ac 3.15
Se2 0.1132 0.3115 0.4362  1 Dy 2.83, 1 Er 2.84, 1 Ac 3.15
Se3 0.2572 0.6868 0.9362  1 Er 2.81, 1 Dy 2.86, 1 Ac 3.15
Se4 0.2572 0.8132 0.4362  1 Er 2.81, 1 Dy 2.86, 1 Ac 3.15
Se5 0.3788 0.0394 0.7488  1 Er 2.81, 1 Dy 2.83, 2 Ac 3.10-3.11
Se6 0.3788 0.4606 0.2488  1 Er 2.81, 1 Dy 2.83, 2 Ac 3.10-3.11
Se7 0.6212 0.5394 0.7512  1 Er 2.81, 1 Dy 2.83, 2 Ac 3.10-3.11
Se8 0.6212 0.9606 0.2512  1 Er 2.81, 1 Dy 2.83, 2 Ac 3.10-3.11
Se9 0.7428 0.1868 0.5638  1 Er 2.81, 1 Dy 2.86, 1 Ac 3.15
Se10 0.7428 0.3132 0.0638  1 Er 2.81, 1 Dy 2.86, 1 Ac 3.15
Se11 0.8868 0.6885 0.5638  1 Dy 2.83, 1 Er 2.84, 1 Ac 3.15
Se12 0.8868 0.8115 0.0638  1 Dy 2.83, 1 Er 2.84, 1 Ac 3.15

Properties
Its crystal system is monoclinic. For the energy relative to the elements, uncorrected, the calculation gives -1.976 eV per atom. The total magnetization comes out at 0.000 μB/f.u.

# 8
AcDyErSe3: optimized geometry, PBE.

a b c (Å): 8.1766 4.1608 10.3932
angles (deg): 90.00 104.96 90.00
With the nearest neighbours (Å) after each atom.
Positions (direct):
Ac1 0.1901 0.2500 0.2126  7 Se 3.11-3.25
Ac2 0.8099 0.7500 0.7874  7 Se 3.11-3.25
Dy1 0.3358 0.7500 0.9076  5 Se 2.82-2.93
Dy2 0.6642 0.2500 0.0924  5 Se 2.82-2.93
Er1 0.1659 0.2500 0.6255  5 Se 2.83-2.96
Er2 0.8341 0.7500 0.3745  5 Se 2.83-2.96
Se1 0.0972 0.2500 0.8895  2 Dy 2.82, 1 Er 2.94, 2 Ac 3.11
Se2 0.2015 0.7500 0.4500  3 Er 2.83-2.90
Se3 0.4874 0.7500 0.1956  3 Dy 2.89-2.93, 1 Er 2.96, 2 Ac 3.24
Se4 0.5126 0.2500 0.8044  3 Dy 2.89-2.93, 1 Er 2.96, 2 Ac 3.24
Se5 0.7985 0.2500 0.5500  3 Er 2.83-2.90
Se6 0.9028 0.7500 0.1105  2 Dy 2.82, 1 Er 2.94, 2 Ac 3.11

Properties
Its crystal system is monoclinic. For the energy relative to the elements, uncorrected, the calculation gives -1.639 eV per atom. The total magnetization comes out at 0.348 μB/f.u.

# 9
AcSm5DyEr2: optimized geometry, PBE.

a b c (Å): 9.1964 9.1964 12.1122
angles (deg): 90.00 90.00 143.35
With the nearest neighbours (Å) after each atom.
Positions (direct):
Ac1 0.1139 0.8861 0.5000  2 Er 3.52, 5 Sm 3.53-3.89, 2 Dy 3.76
Ac2 0.8861 0.1139 0.0000  2 Er 3.52, 5 Sm 3.53-3.89, 2 Dy 3.76
Sm1 0.0790 0.9210 0.8399  4 Sm 3.51-3.73, 4 Er 3.53-3.80, 1 Dy 3.54, 1 Ac 3.89
Sm2 0.0812 0.9188 0.1653  4 Sm 3.51-3.80, 1 Dy 3.54, 4 Er 3.56-3.69
Sm3 0.2684 0.7316 0.2960  3 Sm 3.16-3.49, 1 Er 3.23
Sm4 0.2687 0.7313 0.7053  2 Sm 3.16, 2 Er 3.24-3.46
Sm5 0.4400 0.5600 0.1478  3 Er 3.27-3.57, 1 Sm 3.49, 2 Ac 3.53
Sm6 0.5600 0.4400 0.6478  3 Er 3.27-3.57, 1 Sm 3.49, 2 Ac 3.53
Sm7 0.7313 0.2687 0.2053  2 Sm 3.16, 2 Er 3.24-3.46
Sm8 0.7316 0.2684 0.7960  3 Sm 3.16-3.49, 1 Er 3.23
Sm9 0.9188 0.0812 0.6653  4 Sm 3.51-3.80, 1 Dy 3.54, 4 Er 3.56-3.69
Sm10 0.9210 0.0790 0.3399  4 Sm 3.51-3.73, 4 Er 3.53-3.80, 1 Dy 3.54, 1 Ac 3.89
Dy1 0.2488 0.7512 0.0003  9 Sm 3.54-3.82, 3 Er 3.75-3.76, 2 Ac 3.76
Dy2 0.7512 0.2488 0.5003  9 Sm 3.54-3.82, 3 Er 3.75-3.76, 2 Ac 3.76
Er1 0.3876 0.6124 0.5000  7 Sm 3.23-3.56, 1 Er 3.52
Er2 0.4384 0.5616 0.8530  3 Sm 3.27-3.57, 2 Ac 3.52, 1 Er 3.52
Er3 0.5616 0.4384 0.3530  3 Sm 3.27-3.57, 2 Ac 3.52, 1 Er 3.52
Er4 0.6124 0.3876 0.0000  7 Sm 3.23-3.56, 1 Er 3.52

Properties
Its crystal system is orthorhombic. The total magnetization comes out at 0.001 μB/f.u. The value obtained for the total DFT energy (no corrections) is -4.52 eV per atom.

# 10
AcSmDy6Er2: optimized geometry, PBE.

a b c (Å): 8.8975 8.8975 9.5351
angles (deg): 92.60 92.60 117.47
With the nearest neighbours (Å) after each atom.
Positions (direct):
Ac1 0.0320 0.9680 0.7500  4 Er 3.45-3.57, 6 Dy 3.65-3.84
Ac2 0.9680 0.0320 0.2500  4 Er 3.45-3.57, 6 Dy 3.65-3.84
Sm1 0.4111 0.5889 0.2500  6 Dy 3.46-3.55, 4 Er 3.58-3.81
Sm2 0.5889 0.4111 0.7500  6 Dy 3.46-3.55, 4 Er 3.58-3.81
Dy1 0.0164 0.5548 0.6788  3 Dy 3.22-3.55, 2 Er 3.43-3.47, 1 Sm 3.52
Dy2 0.1246 0.7509 0.0574  7 Dy 3.42-3.82, 1 Er 3.56, 1 Ac 3.82
Dy3 0.2491 0.8754 0.4426  7 Dy 3.42-3.82, 1 Er 3.56, 1 Ac 3.82
Dy4 0.2892 0.5117 0.8838  4 Dy 3.22-3.49, 3 Er 3.28-3.45, 2 Sm 3.46-3.55
Dy5 0.4452 0.9836 0.8212  3 Dy 3.22-3.55, 2 Er 3.43-3.47, 1 Sm 3.52
Dy6 0.4883 0.7108 0.6162  4 Dy 3.22-3.49, 3 Er 3.28-3.45, 2 Sm 3.46-3.55
Dy7 0.5117 0.2892 0.3838  4 Dy 3.22-3.49, 3 Er 3.28-3.45, 2 Sm 3.46-3.55
Dy8 0.5548 0.0164 0.1788  3 Dy 3.22-3.55, 2 Er 3.43-3.47, 1 Sm 3.52
Dy9 0.7108 0.4883 0.1162  4 Dy 3.22-3.49, 3 Er 3.28-3.45, 2 Sm 3.46-3.55
Dy10 0.7509 0.1246 0.5574  7 Dy 3.42-3.82, 1 Er 3.56, 1 Ac 3.82
Dy11 0.8754 0.2491 0.9426  7 Dy 3.42-3.82, 1 Er 3.56, 1 Ac 3.82
Dy12 0.9836 0.4452 0.3212  3 Dy 3.22-3.55, 2 Er 3.43-3.47, 1 Sm 3.52
Er1 0.2004 0.3133 0.5490  6 Dy 3.28-3.56, 2 Ac 3.45-3.57, 1 Sm 3.58
Er2 0.3133 0.2004 0.0490  6 Dy 3.28-3.56, 2 Ac 3.45-3.57, 1 Sm 3.58
Er3 0.6867 0.7996 0.9510  6 Dy 3.28-3.56, 2 Ac 3.45-3.57, 1 Sm 3.58
Er4 0.7996 0.6867 0.4510  6 Dy 3.28-3.56, 2 Ac 3.45-3.57, 1 Sm 3.58

Properties
Its crystal system is monoclinic. The total magnetization comes out at 0.000 μB/f.u. The value obtained for the total DFT energy (no corrections) is -4.43 eV per atom.